A | Entry from Alexandria via LeMat-Bulk: a relaxed K3RbSr crystal (PBE).

Cell lengths 7.9144, 7.9144, 7.9144 Å; angles 90.00, 90.00, 90.00 degrees
With the nearest neighbours (Å) after each atom.
Fractional coordinates of all 5 atoms:
K: 0.0000 0.0000 0.5000  2 Sr 3.96
K: 0.0000 0.5000 0.0000  2 Sr 3.96
K: 0.5000 0.0000 0.0000  2 Sr 3.96
Rb: 0.5000 0.5000 0.5000  12 K 5.60
Sr: 0.0000 0.0000 0.0000  6 K 3.96

Properties
symmetry	Pm-3m (221)


B | Entry from Alexandria via LeMat-Bulk: a relaxed K3RbSr crystal (PBE).

Cell lengths 7.4512, 7.4512, 7.4512 Å; angles 90.00, 90.00, 90.00 degrees
With the nearest neighbours (Å) after each atom.
Fractional coordinates of all 5 atoms:
K: 0.0000 0.0000 0.5000  2 Rb 3.73
K: 0.0000 0.5000 0.0000  2 Rb 3.73
K: 0.5000 0.0000 0.0000  2 Rb 3.73
Rb: 0.0000 0.0000 0.0000  6 K 3.73
Sr: 0.5000 0.5000 0.5000  12 K 5.27

Properties
symmetry	Pm-3m (221)


Which of them is the least stable? Correct choice: B.


A | Entry from Alexandria via LeMat-Bulk: a relaxed KRb2Sr crystal (PBE).

Cell lengths 7.5442, 7.5442, 7.5442 Å; angles 60.00, 60.00, 60.00 degrees
With the nearest neighbours (Å) after each atom.
Fractional coordinates of all 4 atoms:
K: 0.0000 0.0000 0.0000  8 Rb 4.62
Rb: 0.2500 0.2500 0.2500  4 Sr 4.62, 4 K 4.62
Rb: 0.7500 0.7500 0.7500  4 K 4.62, 4 Sr 4.62
Sr: 0.5000 0.5000 0.5000  8 Rb 4.62

Properties
symmetry	Fm-3m (225)


B | Entry from Alexandria via LeMat-Bulk: a relaxed KRb2Sr crystal (PBE).

Cell lengths 9.4947, 9.4947, 9.4947 Å; angles 102.85, 102.85, 123.72 degrees
With the nearest neighbours (Å) after each atom.
Fractional coordinates of all 8 atoms:
K: 0.0000 0.0000 0.0000  4 Rb 4.22, 2 Sr 4.48
K: 0.7500 0.2500 0.5000  4 Rb 4.22, 2 Sr 4.48
Rb: 0.1106 0.1250 0.4856  2 K 4.22, 2 Sr 4.45, 2 Rb 4.49
Rb: 0.3750 0.8894 0.0144  2 K 4.22, 2 Sr 4.45, 2 Rb 4.49
Rb: 0.6394 0.6250 0.5144  2 K 4.22, 2 Sr 4.45, 2 Rb 4.49
Rb: 0.8750 0.3606 0.9856  2 K 4.22, 2 Sr 4.45, 2 Rb 4.49
Sr: 0.2500 0.7500 0.5000  4 Rb 4.45, 2 K 4.48
Sr: 0.5000 0.5000 0.0000  4 Rb 4.45, 2 K 4.48

Properties
symmetry	I-42d (122)


Which of them is the least stable? Correct choice: B.


A | Entry from Alexandria via LeMat-Bulk: a relaxed K2RbSr2 crystal (PBE).

Cell lengths 11.5203, 11.5203, 11.5203 Å; angles 150.72, 150.72, 41.89 degrees
With the nearest neighbours (Å) after each atom.
Fractional coordinates of all 5 atoms:
K: 0.0989 0.0989 0.0000  1 K 4.26, 4 Sr 4.36, 4 Rb 4.64
K: 0.9011 0.9011 0.0000  1 K 4.26, 4 Sr 4.36, 4 Rb 4.64
Rb: 0.5000 0.5000 0.0000  8 K 4.64
Sr: 0.2500 0.7500 0.5000  4 Sr 4.12, 4 K 4.36
Sr: 0.7500 0.2500 0.5000  4 Sr 4.12, 4 K 4.36

Properties
symmetry	I4/mmm (139)


B | Entry from Alexandria via LeMat-Bulk: a relaxed K2RbSr2 crystal (PBE).

Cell lengths 12.4970, 12.4970, 4.5150 Å; angles 90.00, 90.00, 90.00 degrees
With the nearest neighbours (Å) after each atom.
Fractional coordinates of all 10 atoms:
K: 0.1728 0.3272 0.0000  6 Sr 4.30-4.35, 2 K 4.52, 2 Rb 4.62
K: 0.3272 0.8272 0.0000  6 Sr 4.30-4.35, 2 K 4.52, 2 Rb 4.62
K: 0.6728 0.1728 0.0000  6 Sr 4.30-4.35, 2 K 4.52, 2 Rb 4.62
K: 0.8272 0.6728 0.0000  6 Sr 4.30-4.35, 2 K 4.52, 2 Rb 4.62
Rb: 0.0000 0.0000 0.0000  2 Rb 4.52, 4 K 4.62
Rb: 0.5000 0.5000 0.0000  2 Rb 4.52, 4 K 4.62
Sr: 0.1200 0.6200 0.5000  3 Sr 4.24-4.52, 6 K 4.30-4.35
Sr: 0.3800 0.1200 0.5000  3 Sr 4.24-4.52, 6 K 4.30-4.35
Sr: 0.6200 0.8800 0.5000  3 Sr 4.24-4.52, 6 K 4.30-4.35
Sr: 0.8800 0.3800 0.5000  3 Sr 4.24-4.52, 6 K 4.30-4.35

Properties
symmetry	P4/mbm (127)


C | Entry from Alexandria via LeMat-Bulk: a relaxed K2RbSr2 crystal (PBE).

Cell lengths 12.0396, 12.0396, 12.0396 Å; angles 152.82, 152.82, 38.82 degrees
With the nearest neighbours (Å) after each atom.
Fractional coordinates of all 5 atoms:
K: 0.2500 0.7500 0.5000  4 K 4.00
K: 0.7500 0.2500 0.5000  4 K 4.00
Rb: 0.0000 0.0000 0.0000  8 Sr 4.55
Sr: 0.4049 0.4049 0.0000  1 Sr 4.32, 4 K 4.51, 4 Rb 4.55
Sr: 0.5951 0.5951 0.0000  1 Sr 4.32, 4 K 4.51, 4 Rb 4.55

Properties
symmetry	I4/mmm (139)


Which of them is the least stable? Correct choice: C.